# Ce4SiRh, relaxed, DFT GGA-PBE
# Density of states at the Fermi level   54.34 states/eV/cell
# Total moment   0.01 Bohr magnetons per cell
# Energy relative to the elements, uncorrected   -0.4887 eV per atom
# Electronic total energy   -6.574 eV/atom
data_Ce4SiRh
_cell_length_a 8.3763
_cell_length_b 12.6173
_cell_length_c 5.8599
_cell_angle_alpha 90.00
_cell_angle_beta 116.09
_cell_angle_gamma 90.00
_symmetry_space_group_name_H-M 'C 1 2/c 1'
_symmetry_Int_Tables_number 15
loop_
_symmetry_equiv_pos_as_xyz
'x,y,z'
'-x,-y,-z'
'-x,y,-z+1/2'
'x,-y,z+1/2'
'x+1/2,y+1/2,z'
'-x+1/2,-y+1/2,-z'
'-x+1/2,y+1/2,-z+1/2'
'x+1/2,-y+1/2,z+1/2'
loop_
_atom_site_label
_atom_site_type_symbol
_atom_site_fract_x
_atom_site_fract_y
_atom_site_fract_z
_atom_site_occupancy
Ce1 Ce 0.1345 0.1982 0.0883 1
Ce2 Ce 0.1905 0.4091 0.3143 1
Si1 Si 0.0000 0.3859 0.7500 1
Rh1 Rh 0.0000 0.0024 0.2500 1